# 1
First-principles (GGA-PBE) data for BaTiSN2 after structural relaxation, as listed in Alexandria.

Cell and atoms, written as POSCAR:
```
BaTiSN2
1.0
4.179 0.000 0.000
0.000 4.179 0.000
0.000 0.000 4.927
N S Ba Ti
2 1 1 1
Direct
0.000 0.500 0.000
0.500 0.000 0.000
0.000 0.000 0.500
0.500 0.500 0.500
0.000 0.000 0.000
```

Values from the calculation:
symmetry	P4/mmm, No. 123
energy above the most stable polymorph in this dataset	0.0000	eV/atom


# 2
First-principles (GGA-PBE) data for SrTaRe2 after structural relaxation, as listed in Alexandria.

Cell and atoms, written as POSCAR:
```
SrTaRe2
1.0
5.870 0.000 0.002
2.831 5.142 -0.002
-3.627 -3.795 2.627
Re Ta Sr
2 1 1
Direct
0.787 0.287 0.500
0.989 0.989 0.000
0.217 0.717 0.500
0.507 0.507 0.000
```

Values from the calculation:
symmetry	Imm2, No. 44
formation energy from the elements	0.796	eV/atom
energy above the most stable polymorph in this dataset	0.2509	eV/atom


# 3
First-principles (GGA-PBE) data for LaInW2 after structural relaxation, as listed in Alexandria.

Cell and atoms, written as POSCAR:
```
LaInW2
1.0
-2.261 4.853 1.882
-5.665 0.044 0.324
4.664 -2.647 1.856
W In La
2 1 1
Direct
0.000 0.000 0.000
0.500 0.500 0.000
0.750 0.250 0.500
0.250 0.750 0.500
```

Values from the calculation:
symmetry	Immm, No. 71
formation energy from the elements	0.915	eV/atom


# 4
First-principles (GGA-PBE) data for Zr2NbCdTe after structural relaxation, as listed in Alexandria.

Cell and atoms, written as POSCAR:
```
Zr2NbCdTe
1.0
-4.395 1.303 2.434
-2.467 -4.060 -2.280
1.312 -3.041 3.997
Nb Zr Te Cd
1 2 1 1
Direct
0.000 0.000 0.000
0.000 0.000 0.500
0.500 0.000 0.000
0.000 0.500 0.000
0.500 0.500 0.500
```

Values from the calculation:
symmetry	P4/mmm, No. 123
energy	-5.615	eV per atom


# 5
First-principles (GGA-PBE) data for Fe2SiBr after structural relaxation, as listed in Alexandria.

Cell and atoms, written as POSCAR:
```
Fe2SiBr
1.0
4.260 0.618 -0.663
-0.715 4.245 -0.663
0.376 0.516 2.907
Fe Si Br
2 1 1
Direct
0.500 0.500 0.000
0.000 0.000 0.000
0.500 0.000 0.500
0.000 0.500 0.500
```

Values from the calculation:
symmetry	P4/mmm, No. 123
energy above the most stable polymorph in this dataset	0.5005	eV/atom


# 6
First-principles (GGA-PBE) data for HfTi3Ni12 after structural relaxation, as listed in Alexandria.

Cell and atoms, written as POSCAR:
```
HfTi3Ni12
1.0
3.644 0.000 0.000
0.000 3.644 0.000
0.000 0.000 14.526
Ni Ti Hf
12 3 1
Direct
0.500 0.500 0.746
0.500 0.500 0.500
0.000 0.500 0.132
0.500 0.000 0.623
0.500 0.000 0.377
0.500 0.000 0.132
0.500 0.500 0.254
0.500 0.500 0.000
0.000 0.500 0.868
0.000 0.500 0.377
0.500 0.000 0.868
0.000 0.500 0.623
0.000 0.000 0.500
0.000 0.000 0.746
0.000 0.000 0.254
0.000 0.000 0.000
```

Values from the calculation:
symmetry	P4/mmm, No. 123
formation energy from the elements	-0.471	eV/atom


# 7
First-principles (GGA-PBE) data for RbScGa2Cl6 after structural relaxation, as listed in Alexandria.

Cell and atoms, written as POSCAR:
```
RbScGa2Cl6
1.0
-1.159 -5.152 5.295
-3.449 -6.415 -1.669
4.250 -6.620 -0.191
Cl Ga Rb Sc
6 2 1 1
Direct
0.156 0.384 0.778
0.243 0.984 0.229
0.686 0.152 0.779
0.384 0.684 0.776
0.546 0.243 0.227
0.983 0.548 0.226
0.010 0.011 0.967
0.517 0.518 0.447
0.812 0.813 0.561
0.325 0.324 0.026
```

Values from the calculation:
symmetry	P1, No. 1
energy	-3.970	eV per atom


# 8
First-principles (GGA-PBE) data for Mg2VZnGe after structural relaxation, as listed in Alexandria.

Cell and atoms, written as POSCAR:
```
Mg2VZnGe
1.0
4.818 0.000 0.000
0.000 4.789 0.000
0.000 0.000 4.818
V Zn Ge Mg
1 1 1 2
Direct
0.000 0.500 0.000
0.000 0.000 0.000
0.500 0.500 0.500
0.000 0.000 0.500
0.500 0.000 0.000
```

Values from the calculation:
symmetry	P4/mmm, No. 123
formation energy from the elements	0.639	eV/atom


# 9
First-principles (GGA-PBE) data for HgMoIr2 after structural relaxation, as listed in Alexandria.

Cell and atoms, written as POSCAR:
```
HgMoIr2
1.0
4.778 0.000 0.000
0.000 4.778 0.000
0.000 0.000 2.892
Ir Hg Mo
2 1 1
Direct
0.000 0.000 0.000
0.500 0.500 0.000
0.000 0.500 0.500
0.500 0.000 0.500
```

Values from the calculation:
symmetry	P4/mmm, No. 123
formation energy from the elements	0.524	eV/atom


# 10
First-principles (GGA-PBE) data for TcPt3N after structural relaxation, as listed in Alexandria.

Cell and atoms, written as POSCAR:
```
TcPt3N
1.0
4.206 0.000 0.000
0.000 4.206 0.000
0.000 0.000 4.206
N Pt Tc
1 3 1
Direct
0.000 0.000 0.000
0.000 0.000 0.500
0.500 0.000 0.000
0.000 0.500 0.000
0.500 0.500 0.500
```

Values from the calculation:
symmetry	Pm-3m, No. 221
energy above the most stable polymorph in this dataset	0.0000	eV/atom


# 11
First-principles (GGA-PBE) data for ScHg2Te2 after structural relaxation, as listed in Alexandria.

Cell and atoms, written as POSCAR:
```
ScHg2Te2
1.0
4.185 0.000 0.000
0.000 4.185 0.000
2.093 2.093 8.675
Hg Te Sc
2 2 1
Direct
0.586 0.586 0.827
0.414 0.414 0.173
0.750 0.250 0.500
0.250 0.750 0.500
0.000 0.000 0.000
```

Values from the calculation:
symmetry	I4/mmm, No. 139
energy above the most stable polymorph in this dataset	0.4193	eV/atom


# 12
First-principles (GGA-PBE) data for In4HgTe after structural relaxation, as listed in Alexandria.

Cell and atoms, written as POSCAR:
```
In4HgTe
1.0
-1.385 4.722 -1.543
-4.760 -0.037 4.163
7.751 -0.460 8.860
Hg In Te
2 8 2
Direct
0.017 0.318 0.267
0.983 0.818 0.733
0.017 0.814 0.267
0.656 0.071 0.406
0.983 0.314 0.733
0.350 0.332 0.099
0.344 0.571 0.594
0.650 0.832 0.901
0.668 0.568 0.418
0.332 0.068 0.582
0.336 0.831 0.085
0.664 0.331 0.915
```

Values from the calculation:
symmetry	P2_1, No. 4
energy above the most stable polymorph in this dataset	0.0000	eV/atom